A plane-wave DFT calculation with PBE was carried out for crystalline EuScAg4 at its relaxed geometry.

Structure (POSCAR):
```
EuScAg4
1.0
0.000 4.030 4.030
4.030 0.000 4.030
4.030 4.030 0.000
Eu Sc Ag
1 1 4
Direct
0.000 0.000 0.000
0.250 0.250 0.250
0.127 0.624 0.624
0.624 0.127 0.624
0.624 0.624 0.127
0.624 0.624 0.624
```

## Properties
- crystal system = cubic
- magnetic moment (Bohr magnetons per cell) = 7.68
- space-group type = F-43m, No. 216
- raw total energy (eV/atom) = -4.774

***

A plane-wave DFT calculation with PBE was carried out for crystalline DyPuTlHg at its relaxed geometry.

Structure (POSCAR):
```
DyPuTlHg
1.0
7.565 0.000 0.000
0.000 7.565 0.000
0.000 0.000 7.565
Dy Pu Tl Hg
4 4 4 4
Direct
0.000 0.000 0.000
0.000 0.500 0.500
0.500 0.000 0.500
0.500 0.500 0.000
0.000 0.000 0.500
0.000 0.500 0.000
0.500 0.000 0.000
0.500 0.500 0.500
0.250 0.250 0.250
0.250 0.750 0.750
0.750 0.250 0.750
0.750 0.750 0.250
0.250 0.250 0.750
0.250 0.750 0.250
0.750 0.250 0.250
0.750 0.750 0.750
```

## Properties
- crystal system = cubic
- ΔE to the lowest computed polymorph (eV/atom) = 0.015
- magnetic moment (Bohr magnetons per cell) = 25.61
- space-group type = F-43m, No. 216

***

A plane-wave DFT calculation with PBE was carried out for crystalline CsK3Mg at its relaxed geometry.

Structure (POSCAR):
```
CsK3Mg
1.0
8.268 0.000 0.000
0.000 8.268 0.000
0.000 0.000 8.268
Cs K Mg
1 3 1
Direct
0.000 0.000 0.000
0.000 0.000 0.500
0.000 0.500 0.000
0.500 0.000 0.000
0.500 0.500 0.500
```

## Properties
- crystal system = cubic
- ΔE to the lowest computed polymorph (eV/atom) = 0.409
- magnetic moment (Bohr magnetons per cell) = 0.00
- space-group type = Pm-3m, No. 221

***

A plane-wave DFT calculation with PBE was carried out for crystalline La2YGa2 at its relaxed geometry.

Structure (POSCAR):
```
La2YGa2
1.0
6.090 -2.400 0.000
6.090 2.400 0.000
-5.715 0.000 9.779
La Y Ga
4 2 4
Direct
0.024 0.024 0.184
0.189 0.189 0.602
0.811 0.811 0.398
0.976 0.976 0.816
0.294 0.294 0.140
0.706 0.706 0.860
0.374 0.374 0.927
0.462 0.462 0.591
0.538 0.538 0.409
0.626 0.626 0.073
```

## Properties
- crystal system = monoclinic
- ΔE to the lowest computed polymorph (eV/atom) = 0.019
- magnetic moment (Bohr magnetons per cell) = 0.00
- space-group type = C2/m, No. 12